Here is Sr4Ac2N after structural relaxation from the Alexandria database. Energies are from GGA-PBE.

Cell: 12.0930 12.0930 12.0930 Å, 155.54 155.54 34.87°
Closest atoms and distances in Å follow each position.
Atoms (fractional coordinates):
Sr1 0.0000 0.5000 0.5000  2 N 2.56
Sr2 0.1152 0.1152 0.0000  1 N 2.66
Sr3 0.5000 0.0000 0.5000  2 N 2.56
Sr4 0.8848 0.8848 0.0000  1 N 2.66
Ac1 0.2943 0.2943 0.0000  5 Sr 4.13-4.18, 4 Ac 4.16
Ac2 0.7057 0.7057 0.0000  5 Sr 4.13-4.18, 4 Ac 4.16
N1 0.0000 0.0000 0.0000  6 Sr 2.56-2.66

Values from the calculation:
E_form (uncorrected) ... -24 meV/atom
Crystal system ... tetragonal
Space-group type ... I4/mmm
Spin magnetization ... 0.00 μB/f.u.
Density of states at the Fermi level ... 9.8 states/eV per cell